Record 1
A plane-wave DFT calculation with PBE was carried out for an optimized crystal structure of RbPuIO6.

Calculated values
For the total energy, the calculation gives -6.7481 eV/atom.

Lattice parameters (Å, degrees): 5.8627 5.8887 6.1007 90.78 89.96 61.23
Element x y z (fractional)
O1 0.9173 0.4501 0.2988
O2 0.0177 0.6202 0.6764
O3 0.6083 0.0360 0.3228
O4 0.3617 0.6032 0.3211
O5 0.4497 0.9123 0.7029
O6 0.6105 0.3570 0.6784
I1 0.3586 0.3482 0.4974
Pu1 0.6833 0.6803 0.5016
Rb1 0.9928 0.9928 0.0003

=====

Record 2
A plane-wave DFT calculation with PBE was carried out for an optimized crystal structure of Tb5Sn.

Calculated values
As for the formation enthalpy at 0 K: -1.613 eV/f.u.

Lattice parameters (Å, degrees): 4.8815 4.8483 7.9017 107.87 90.00 90.00
Element x y z (fractional)
Tb1 0.5000 0.5000 0.0000
Tb2 0.5000 0.1661 0.3322
Tb3 0.5000 0.8339 0.6678
Tb4 0.0000 0.3384 0.6768
Tb5 0.0000 0.6616 0.3232
Sn1 0.0000 0.0000 0.0000

=====

Record 3
A plane-wave DFT calculation with PBE was carried out for an optimized crystal structure of Tb3Co3B8.

Calculated values
As for the formation enthalpy at 0 K: -3.240 eV/f.u.

Lattice parameters (Å, degrees): 3.2434 7.0361 7.0361 79.92 76.67 76.67
Element x y z (fractional)
Tb1 0.7955 0.2045 0.2045
Tb2 0.2045 0.7955 0.7955
Tb3 0.5000 0.5000 0.5000
Co1 0.0000 0.2207 0.7793
Co2 0.5000 0.0000 0.0000
Co3 0.0000 0.7793 0.2207
B1 0.8177 0.8793 0.4853
B2 0.6357 0.0847 0.6440
B3 0.3643 0.3560 0.9153
B4 0.1823 0.5147 0.1207
B5 0.1823 0.1207 0.5147
B6 0.6357 0.6440 0.0847
B7 0.3643 0.9153 0.3560
B8 0.8177 0.4853 0.8793

=====

What did the third record say?
A plane-wave DFT calculation with PBE was carried out for an optimized crystal structure of Tb3Co3B8.

Calculated values
As for the formation enthalpy at 0 K: -3.240 eV/f.u.

Lattice parameters (Å, degrees): 3.2434 7.0361 7.0361 79.92 76.67 76.67
Element x y z (fractional)
Tb1 0.7955 0.2045 0.2045
Tb2 0.2045 0.7955 0.7955
Tb3 0.5000 0.5000 0.5000
Co1 0.0000 0.2207 0.7793
Co2 0.5000 0.0000 0.0000
Co3 0.0000 0.7793 0.2207
B1 0.8177 0.8793 0.4853
B2 0.6357 0.0847 0.6440
B3 0.3643 0.3560 0.9153
B4 0.1823 0.5147 0.1207
B5 0.1823 0.1207 0.5147
B6 0.6357 0.6440 0.0847
B7 0.3643 0.9153 0.3560
B8 0.8177 0.4853 0.8793

=====

Repeat the first record exactly.
A plane-wave DFT calculation with PBE was carried out for an optimized crystal structure of RbPuIO6.

Calculated values
For the total energy, the calculation gives -6.7481 eV/atom.

Lattice parameters (Å, degrees): 5.8627 5.8887 6.1007 90.78 89.96 61.23
Element x y z (fractional)
O1 0.9173 0.4501 0.2988
O2 0.0177 0.6202 0.6764
O3 0.6083 0.0360 0.3228
O4 0.3617 0.6032 0.3211
O5 0.4497 0.9123 0.7029
O6 0.6105 0.3570 0.6784
I1 0.3586 0.3482 0.4974
Pu1 0.6833 0.6803 0.5016
Rb1 0.9928 0.9928 0.0003